# 1
The following is a PBE-GGA calculation of TbEr2Sc3Bi6 after structural relaxation, from Alexandria via LeMat-Bulk.

Cell and atoms, written as POSCAR:
```
TbEr2Sc3Bi6
1.0
3.782 -6.553 0.000
3.782 6.553 0.000
-2.520 0.000 7.122
Tb Er Sc Bi
1 2 3 6
Cartesian
0.000 0.000 0.000
3.782 2.190 0.000
3.782 -2.190 0.000
2.522 4.383 3.561
2.522 0.000 3.561
2.522 -4.383 3.561
1.269 2.197 1.880
0.018 0.000 5.251
1.269 -2.197 1.880
3.774 2.197 5.242
5.025 0.000 1.872
3.774 -2.197 5.242
```

Results
Symmetry   C2/m, No. 12
Total DFT energy (no corrections)   -5.414 eV per atom
Spin magnetization   0.00 μB/atom
DFT formation energy   -0.74 eV per atom



# 2
The following is a PBE-GGA calculation of Er2ThScBi5 after structural relaxation, from Alexandria via LeMat-Bulk.

Cell and atoms, written as POSCAR:
```
Er2ThScBi5
1.0
5.769 0.000 0.000
0.000 5.769 0.000
0.000 0.000 11.521
Er Th Sc Bi
2 1 1 5
Cartesian
0.000 0.000 2.544
0.000 0.000 8.977
2.885 2.885 0.000
2.885 2.885 5.761
0.000 0.000 5.761
0.000 2.885 0.000
2.885 0.000 0.000
2.885 2.885 3.054
2.885 2.885 8.467
```

Results
Symmetry   P4/mmm, No. 123
Total DFT energy (no corrections)   -4.408 eV per atom
Spin magnetization   0.00 μB/atom
DFT formation energy   0.29 eV per atom



# 3
The following is a PBE-GGA calculation of ErThSc2Bi4 after structural relaxation, from Alexandria via LeMat-Bulk.

Cell and atoms, written as POSCAR:
```
ErThSc2Bi4
1.0
7.598 0.000 0.000
0.000 4.414 0.000
-2.552 0.000 7.183
Er Th Sc Bi
1 1 2 4
Cartesian
0.000 0.000 0.000
-1.276 2.207 3.591
2.523 0.000 3.591
3.799 2.207 0.000
1.384 2.207 1.796
0.111 0.000 5.479
4.935 0.000 1.704
3.662 2.207 5.386
```

Results
Symmetry   P2/m, No. 10
Total DFT energy (no corrections)   -5.697 eV per atom
Spin magnetization   0.00 μB/atom
DFT formation energy   -0.68 eV per atom



The highest total DFT energy (no corrections) belongs to which entry? Er2ThScBi5